1.
DFT (GGA-PBE) results for AlCo2W after structural relaxation.

The space group is C2/m (No. 12) and the conventional cell measures 8.2481, 2.6874 and 4.7482 Å, with angles of 90.00, 98.17 and 90.00 degrees. The inequivalent atoms are Al at (0.0000, 0.0000, 0.0000), Co at (0.2462, 0.5000, 0.2514) and W at (0.0000, 0.5000, 0.5000).

The formation energy comes out at -0.0138 eV per atom.

2.
DFT (GGA-PBE) results for PmSb2Pd6 after structural relaxation.

The space group is P6/mmm (No. 191) and the conventional cell measures 5.6391, 5.6391 and 7.0117 Å, with angles of 90.00, 90.00 and 120.00 degrees. The inequivalent atoms are Pm at (0.0000, 0.0000, 0.0000), Sb at (0.3333, 0.6667, 0.5000) and Pd at (0.0000, 0.5000, 0.1956).

Its energy relative to the elements, uncorrected is -4.0 eV per formula unit.

3.
DFT (GGA-PBE) results for NaScB2 after structural relaxation.

The space group is I4_1/amd (No. 141, origin choice 2) and the conventional cell measures 3.7352, 3.7352 and 17.6839 Å, with angles of 90.00, 90.00 and 90.00 degrees. The inequivalent atoms are Na at (0.0000, 0.2500, 0.3750), Sc at (0.0000, 0.2500, 0.8750) and B at (0.0000, 0.0000, 0.0000).

The formation energy comes out at 1.0237 eV per atom.

4.
DFT (GGA-PBE) results for AcTbCePu after structural relaxation.

The space group is F-43m (No. 216) and the conventional cell measures 8.1117, 8.1117 and 8.1117 Å, with angles of 90.00, 90.00 and 90.00 degrees. The inequivalent atoms are Ac at (0.0000, 0.0000, 0.0000), Tb at (0.2500, 0.2500, 0.7500), Ce at (0.2500, 0.2500, 0.2500) and Pu at (0.0000, 0.0000, 0.5000).

The formation energy comes out at 0.2762 eV per atom.

5.
DFT (GGA-PBE) results for TcNi2H2 after structural relaxation.

The space group is I4/mmm (No. 139) and the conventional cell measures 2.6445, 2.6445 and 11.8942 Å, with angles of 90.00, 90.00 and 90.00 degrees. The inequivalent atoms are Tc at (0.0000, 0.0000, 0.0000), Ni at (0.0000, 0.0000, 0.3415) and H at (0.0000, 0.5000, 0.2500).

For the total energy, the calculation gives -5.6830 eV per atom.

6.
DFT (GGA-PBE) results for PrEu2 after structural relaxation.

The space group is Fd-3m (No. 227, origin choice 2) and the conventional cell measures 9.8999, 9.8999 and 9.8999 Å, with angles of 90.00, 90.00 and 90.00 degrees. The inequivalent atoms are Pr at (0.1250, 0.1250, 0.1250) and Eu at (0.0000, 0.0000, 0.5000).

The formation energy comes out at 0.2574 eV per atom.

Number 1: density of states at the Fermi level 0.9211 states/eV per atom, size of the total moment 1.5 μB per formula unit. Number 2: density of states at the Fermi level 0.5173 states/eV per atom, size of the total moment 0.0 μB per formula unit. Number 3: density of states at the Fermi level 0.5723 states/eV per atom, size of the total moment 0.0 μB per formula unit. Number 4: density of states at the Fermi level 3.5976 states/eV per atom, size of the total moment 8.6 μB per formula unit. Number 5: density of states at the Fermi level 0.6326 states/eV per atom, size of the total moment 0.0 μB per formula unit. Number 6: density of states at the Fermi level 2.0212 states/eV per atom, size of the total moment 16.0 μB per formula unit.